1.
Computed, not measured: AcBeGe2Pd after structural relaxation at the PBE-GGA level of DFT.

Cell and atoms, written as CIF:
```
data_AcBeGe2Pd
_chemical_formula_sum 'Ac2 Be2 Ge4 Pd2'
_symmetry_space_group_name_H-M 'I -4 m 2'
_symmetry_Int_Tables_number 119
_symmetry_space_group_name_Hall 'I -4 -2'
_cell_length_a 4.3091
_cell_length_b 4.3091
_cell_length_c 10.5501
_cell_angle_alpha 90.00
_cell_angle_beta 90.00
_cell_angle_gamma 90.00
loop_
_atom_site_label
_atom_site_fract_x
_atom_site_fract_y
_atom_site_fract_z
_atom_site_occupancy
Ac1 0.0000 0.0000 0.0000 1
Be1 0.0000 0.5000 0.2500 1
Ge1 0.0000 0.0000 0.3731 1
Pd1 0.0000 0.5000 0.7500 1
```

Values from the calculation:
ΔH_f (0 K) (eV per atom): -0.58
Total magnetic moment (μB/atom): 0.0000
V (Å³ per atom): 19.59


2.
Computed, not measured: AcPmBeGe after structural relaxation at the PBE-GGA level of DFT.

Cell and atoms, written as CIF:
```
data_AcPmBeGe
_chemical_formula_sum 'Ac4 Pm4 Be4 Ge4'
_symmetry_space_group_name_H-M 'F -4 3 m'
_symmetry_Int_Tables_number 216
_symmetry_space_group_name_Hall 'F -4 2 3'
_cell_length_a 7.4307
_cell_length_b 7.4307
_cell_length_c 7.4307
_cell_angle_alpha 90.00
_cell_angle_beta 90.00
_cell_angle_gamma 90.00
loop_
_atom_site_label
_atom_site_fract_x
_atom_site_fract_y
_atom_site_fract_z
_atom_site_occupancy
Ac1 0.0000 0.0000 0.0000 1
Pm1 0.0000 0.0000 0.5000 1
Be1 0.2500 0.2500 0.7500 1
Ge1 0.2500 0.2500 0.2500 1
```

Values from the calculation:
ΔH_f (0 K) (eV per atom): -0.14
Total magnetic moment (μB/atom): 0.0000
V (Å³ per atom): 25.64


3.
Computed, not measured: Ac2BeGe3Pt4 after structural relaxation at the PBE-GGA level of DFT.

Cell and atoms, written as CIF:
```
data_Ac2BeGe3Pt4
_chemical_formula_sum 'Ac2 Be1 Ge3 Pt4'
_symmetry_space_group_name_H-M 'P -4 m 2'
_symmetry_Int_Tables_number 115
_cell_length_a 4.4437
_cell_length_b 4.4437
_cell_length_c 10.1304
_cell_angle_alpha 90.00
_cell_angle_beta 90.00
_cell_angle_gamma 90.00
loop_
_symmetry_equiv_pos_as_xyz
'x,y,z'
'y,-x,-z'
'-x,-y,z'
'-y,x,-z'
'-x,y,z'
'-y,-x,-z'
'x,-y,z'
'y,x,-z'
loop_
_atom_site_label
_atom_site_fract_x
_atom_site_fract_y
_atom_site_fract_z
_atom_site_occupancy
Ac1 0.0000 0.5000 0.2416 1
Be1 0.5000 0.5000 0.0000 1
Ge1 0.0000 0.0000 0.0000 1
Ge2 0.0000 0.5000 0.6293 1
Pt1 0.0000 0.0000 0.5000 1
Pt2 0.0000 0.5000 0.8839 1
Pt3 0.5000 0.5000 0.5000 1
```

Values from the calculation:
ΔH_f (0 K) (eV per atom): -0.89
Total magnetic moment (μB/atom): 0.0000
V (Å³ per atom): 20.00


4.
Computed, not measured: Ac2BeGePt6 after structural relaxation at the PBE-GGA level of DFT.

Cell and atoms, written as CIF:
```
data_Ac2BeGePt6
_chemical_formula_sum 'Ac4 Be2 Ge2 Pt12'
_symmetry_space_group_name_H-M 'C 1 2/m 1'
_symmetry_Int_Tables_number 12
_cell_length_a 11.8873
_cell_length_b 5.6765
_cell_length_c 7.9887
_cell_angle_alpha 90.00
_cell_angle_beta 130.35
_cell_angle_gamma 90.00
loop_
_symmetry_equiv_pos_as_xyz
'x,y,z'
'-x,-y,-z'
'-x,y,-z'
'x,-y,z'
'x+1/2,y+1/2,z'
'-x+1/2,-y+1/2,-z'
'-x+1/2,y+1/2,-z'
'x+1/2,-y+1/2,z'
loop_
_atom_site_label
_atom_site_fract_x
_atom_site_fract_y
_atom_site_fract_z
_atom_site_occupancy
Ac1 0.2491 0.0000 0.2903 1
Be1 0.0000 0.5000 0.0000 1
Ge1 0.0000 0.0000 0.5000 1
Pt1 0.0131 0.2558 0.7704 1
Pt2 0.2440 0.5000 0.1249 1
```

Values from the calculation:
ΔH_f (0 K) (eV per atom): -0.87
Total magnetic moment (μB/atom): 0.0000
V (Å³ per atom): 20.54


5.
Computed, not measured: AcBeGePt3 after structural relaxation at the PBE-GGA level of DFT.

Cell and atoms, written as CIF:
```
data_AcBeGePt3
_chemical_formula_sum 'Ac4 Be4 Ge4 Pt12'
_symmetry_space_group_name_H-M 'C m c m'
_symmetry_Int_Tables_number 63
_symmetry_space_group_name_Hall '-C 2c 2'
_cell_length_a 5.7623
_cell_length_b 11.8830
_cell_length_c 6.7669
_cell_angle_alpha 90.00
_cell_angle_beta 90.00
_cell_angle_gamma 90.00
loop_
_atom_site_label
_atom_site_fract_x
_atom_site_fract_y
_atom_site_fract_z
_atom_site_occupancy
Ac1 0.0000 0.2228 0.2500 1
Be1 0.0000 0.4900 0.2500 1
Ge1 0.0000 0.1092 0.7500 1
Pt1 0.0000 0.3154 0.7500 1
Pt2 0.2486 0.5000 0.0000 1
```

Values from the calculation:
ΔH_f (0 K) (eV per atom): -0.80
Total magnetic moment (μB/atom): 0.0000
V (Å³ per atom): 19.31


6.
Computed, not measured: AcPuBeGe after structural relaxation at the PBE-GGA level of DFT.

Cell and atoms, written as CIF:
```
data_AcPuBeGe
_chemical_formula_sum 'Ac4 Pu4 Be4 Ge4'
_symmetry_space_group_name_H-M 'F -4 3 m'
_symmetry_Int_Tables_number 216
_symmetry_space_group_name_Hall 'F -4 2 3'
_cell_length_a 7.3534
_cell_length_b 7.3534
_cell_length_c 7.3534
_cell_angle_alpha 90.00
_cell_angle_beta 90.00
_cell_angle_gamma 90.00
loop_
_atom_site_label
_atom_site_fract_x
_atom_site_fract_y
_atom_site_fract_z
_atom_site_occupancy
Ac1 0.0000 0.0000 0.0000 1
Pu1 0.0000 0.0000 0.5000 1
Be1 0.2500 0.2500 0.7500 1
Ge1 0.2500 0.2500 0.2500 1
```

Values from the calculation:
ΔH_f (0 K) (eV per atom): 0.03
Total magnetic moment (μB/atom): 1.5234
V (Å³ per atom): 24.85


7.
Computed, not measured: Ac2Be4Ge3Rh after structural relaxation at the PBE-GGA level of DFT.

Cell and atoms, written as CIF:
```
data_Ac2Be4Ge3Rh
_chemical_formula_sum 'Ac2 Be4 Ge3 Rh1'
_symmetry_space_group_name_H-M 'P -4 m 2'
_symmetry_Int_Tables_number 115
_cell_length_a 4.2040
_cell_length_b 4.2040
_cell_length_c 9.9331
_cell_angle_alpha 90.00
_cell_angle_beta 90.00
_cell_angle_gamma 90.00
loop_
_symmetry_equiv_pos_as_xyz
'x,y,z'
'y,-x,-z'
'-x,-y,z'
'-y,x,-z'
'-x,y,z'
'-y,-x,-z'
'x,-y,z'
'y,x,-z'
loop_
_atom_site_label
_atom_site_fract_x
_atom_site_fract_y
_atom_site_fract_z
_atom_site_occupancy
Ac1 0.0000 0.5000 0.2494 1
Be1 0.0000 0.0000 0.5000 1
Be2 0.0000 0.5000 0.8861 1
Be3 0.5000 0.5000 0.5000 1
Ge1 0.0000 0.0000 0.0000 1
Ge2 0.0000 0.5000 0.6258 1
Rh1 0.5000 0.5000 0.0000 1
```

Values from the calculation:
ΔH_f (0 K) (eV per atom): -0.40
Total magnetic moment (μB/atom): 0.0000
V (Å³ per atom): 17.56


8.
Computed, not measured: Ac2BeGe4Rh3 after structural relaxation at the PBE-GGA level of DFT.

Cell and atoms, written as CIF:
```
data_Ac2BeGe4Rh3
_chemical_formula_sum 'Ac2 Be1 Ge4 Rh3'
_symmetry_space_group_name_H-M 'P -4 m 2'
_symmetry_Int_Tables_number 115
_cell_length_a 4.3896
_cell_length_b 4.3896
_cell_length_c 10.1402
_cell_angle_alpha 90.00
_cell_angle_beta 90.00
_cell_angle_gamma 90.00
loop_
_symmetry_equiv_pos_as_xyz
'x,y,z'
'y,-x,-z'
'-x,-y,z'
'-y,x,-z'
'-x,y,z'
'-y,-x,-z'
'x,-y,z'
'y,x,-z'
loop_
_atom_site_label
_atom_site_fract_x
_atom_site_fract_y
_atom_site_fract_z
_atom_site_occupancy
Ac1 0.0000 0.5000 0.2466 1
Be1 0.5000 0.5000 0.0000 1
Ge1 0.0000 0.0000 0.5000 1
Ge2 0.0000 0.5000 0.8756 1
Ge3 0.5000 0.5000 0.5000 1
Rh1 0.0000 0.0000 0.0000 1
Rh2 0.0000 0.5000 0.6245 1
```

Values from the calculation:
ΔH_f (0 K) (eV per atom): -0.68
Total magnetic moment (μB/atom): 0.0000
V (Å³ per atom): 19.54


9.
Computed, not measured: AcBeGeRh3 after structural relaxation at the PBE-GGA level of DFT.

Cell and atoms, written as CIF:
```
data_AcBeGeRh3
_chemical_formula_sum 'Ac4 Be4 Ge4 Rh12'
_symmetry_space_group_name_H-M 'C m c m'
_symmetry_Int_Tables_number 63
_symmetry_space_group_name_Hall '-C 2c 2'
_cell_length_a 6.0417
_cell_length_b 12.0186
_cell_length_c 5.9843
_cell_angle_alpha 90.00
_cell_angle_beta 90.00
_cell_angle_gamma 90.00
loop_
_atom_site_label
_atom_site_fract_x
_atom_site_fract_y
_atom_site_fract_z
_atom_site_occupancy
Ac1 0.0000 0.2362 0.2500 1
Be1 0.0000 0.4995 0.2500 1
Ge1 0.0000 0.1149 0.7500 1
Rh1 0.0000 0.3141 0.7500 1
Rh2 0.2388 0.0000 0.0000 1
```

Values from the calculation:
ΔH_f (0 K) (eV per atom): -0.61
Total magnetic moment (μB/atom): 0.0000
V (Å³ per atom): 18.11


10.
Computed, not measured: Ac2BeGeRh6 after structural relaxation at the PBE-GGA level of DFT.

Cell and atoms, written as CIF:
```
data_Ac2BeGeRh6
_chemical_formula_sum 'Ac4 Be2 Ge2 Rh12'
_symmetry_space_group_name_H-M 'I m m m'
_symmetry_Int_Tables_number 71
_symmetry_space_group_name_Hall '-I 2 2'
_cell_length_a 6.3982
_cell_length_b 6.4145
_cell_length_c 9.0594
_cell_angle_alpha 90.00
_cell_angle_beta 90.00
_cell_angle_gamma 90.00
loop_
_atom_site_label
_atom_site_fract_x
_atom_site_fract_y
_atom_site_fract_z
_atom_site_occupancy
Ac1 0.0000 0.0000 0.2501 1
Be1 0.0000 0.5000 0.0000 1
Ge1 0.0000 0.5000 0.5000 1
Rh1 0.0000 0.5000 0.2375 1
Rh2 0.2373 0.2623 0.0000 1
```

Values from the calculation:
ΔH_f (0 K) (eV per atom): -0.51
Total magnetic moment (μB/atom): 0.0002
V (Å³ per atom): 18.59


11.
Computed, not measured: Ac2Be3Ge4Rh after structural relaxation at the PBE-GGA level of DFT.

Cell and atoms, written as CIF:
```
data_Ac2Be3Ge4Rh
_chemical_formula_sum 'Ac2 Be3 Ge4 Rh1'
_symmetry_space_group_name_H-M 'P -4 m 2'
_symmetry_Int_Tables_number 115
_cell_length_a 4.3189
_cell_length_b 4.3189
_cell_length_c 9.9873
_cell_angle_alpha 90.00
_cell_angle_beta 90.00
_cell_angle_gamma 90.00
loop_
_symmetry_equiv_pos_as_xyz
'x,y,z'
'y,-x,-z'
'-x,-y,z'
'-y,x,-z'
'-x,y,z'
'-y,-x,-z'
'x,-y,z'
'y,x,-z'
loop_
_atom_site_label
_atom_site_fract_x
_atom_site_fract_y
_atom_site_fract_z
_atom_site_occupancy
Ac1 0.0000 0.5000 0.2492 1
Be1 0.0000 0.5000 0.8784 1
Be2 0.5000 0.5000 0.5000 1
Ge1 0.0000 0.0000 0.0000 1
Ge2 0.0000 0.5000 0.6287 1
Ge3 0.5000 0.5000 0.0000 1
Rh1 0.0000 0.0000 0.5000 1
```

Values from the calculation:
ΔH_f (0 K) (eV per atom): -0.43
Total magnetic moment (μB/atom): 0.0000
V (Å³ per atom): 18.63


12.
Computed, not measured: AcTmBe2Ge2 after structural relaxation at the PBE-GGA level of DFT.

Cell and atoms, written as CIF:
```
data_AcTmBe2Ge2
_chemical_formula_sum 'Ac1 Tm1 Be2 Ge2'
_symmetry_space_group_name_H-M 'P -3 m 1'
_symmetry_Int_Tables_number 164
_symmetry_space_group_name_Hall '-P 3 2"'
_cell_length_a 3.9923
_cell_length_b 3.9923
_cell_length_c 8.6604
_cell_angle_alpha 90.00
_cell_angle_beta 90.00
_cell_angle_gamma 120.00
loop_
_atom_site_label
_atom_site_fract_x
_atom_site_fract_y
_atom_site_fract_z
_atom_site_occupancy
Ac1 0.0000 0.0000 0.0000 1
Tm1 0.0000 0.0000 0.5000 1
Be1 0.3333 0.6667 0.7253 1
Ge1 0.3333 0.6667 0.2778 1
```

Values from the calculation:
ΔH_f (0 K) (eV per atom): -0.57
Total magnetic moment (μB/atom): 0.0000
V (Å³ per atom): 19.92


no.,total DFT energy (no corrections) (Ha/atom)
1,-0.1849
2,-0.1632
3,-0.2164
4,-0.2262
5,-0.2168
6,-0.2451
7,-0.1774
8,-0.2179
9,-0.2337
10,-0.2415
11,-0.1818
12,-0.1757